Entry 1:
DFT (GGA-PBE) results for a relaxed AcDyZn4 crystal.

The space group is I-4m2 (No. 119) and the conventional cell measures 4.263, 4.263 and 15.567 Å, with angles of 90.00, 90.00 and 90.00 degrees. The asymmetric unit holds Ac at (0.000, 0.000, 0.000), Dy at (0.000, 0.500, 0.250), Zn at (0.000, 0.000, 0.411) and Zn at (0.000, 0.500, 0.672).

The value obtained for the calculated total energy is -2.569 eV/atom. The spin magnetization comes out at 0.00 μB/f.u.

=====

Entry 2:
DFT (GGA-PBE) results for a relaxed AcDyZn crystal.

The space group is I4mm (No. 107) and the conventional cell measures 3.780, 3.780 and 12.723 Å, with angles of 90.00, 90.00 and 90.00 degrees. The asymmetric unit holds Ac at (0.000, 0.000, 0.000), Dy at (0.000, 0.000, 0.285) and Zn at (0.000, 0.000, 0.670).

The value obtained for the calculated total energy is -3.486 eV/atom. The spin magnetization comes out at 0.00 μB/f.u.

=====

Entry 3:
DFT (GGA-PBE) results for a relaxed AcDyZn crystal.

The space group is C2/m (No. 12) and the conventional cell measures 9.206, 5.670 and 7.617 Å, with angles of 90.00, 111.76 and 90.00 degrees. The asymmetric unit holds Ac at (0.124, 0.000, 0.344), Dy at (0.203, 0.500, 0.089) and Zn at (0.040, 0.500, 0.682).

The value obtained for the calculated total energy is -3.391 eV/atom. The spin magnetization comes out at 0.00 μB/f.u.

=====

Entry 4:
DFT (GGA-PBE) results for a relaxed AcDy2Zr crystal.

The space group is R3m (No. 160, hexagonal axes) and the conventional cell measures 3.5757, 3.5757 and 34.5810 Å, with angles of 90.00, 90.00 and 120.00 degrees. The asymmetric unit holds Ac at (0.0000, 0.0000, 0.0000), Dy at (0.0000, 0.0000, 0.2419), Dy at (0.0000, 0.0000, 0.4257) and Zr at (0.0000, 0.0000, 0.8340).

The value obtained for the calculated total energy is -5.308 eV/atom. The spin magnetization comes out at 0.00 μB/f.u.

=====

Entry 5:
DFT (GGA-PBE) results for a relaxed AcDy2Zr crystal.

The space group is R-3m (No. 166, hexagonal axes) and the conventional cell measures 3.4855, 3.4855 and 36.7579 Å, with angles of 90.00, 90.00 and 120.00 degrees. The asymmetric unit holds Ac at (0.0000, 0.0000, 0.0000), Dy at (0.0000, 0.0000, 0.4162) and Zr at (0.0000, 0.0000, 0.5000).

The value obtained for the calculated total energy is -5.034 eV/atom. The spin magnetization comes out at 0.00 μB/f.u.

=====

Entry 6:
DFT (GGA-PBE) results for a relaxed AcDy2Zr crystal.

The space group is P4/mmm (No. 123) and the conventional cell measures 4.040, 4.040 and 7.910 Å, with angles of 90.00, 90.00 and 90.00 degrees. The asymmetric unit holds Ac at (0.000, 0.000, 0.000), Dy at (0.500, 0.500, 0.296) and Zr at (0.000, 0.000, 0.500).

The value obtained for the calculated total energy is -5.280 eV/atom. The spin magnetization comes out at 0.00 μB/f.u.

=====

Entry 7:
DFT (GGA-PBE) results for a relaxed Ac3Dy12Zr5 crystal.

The space group is Ia-3d (No. 230) and the conventional cell measures 18.464, 18.464 and 18.464 Å, with angles of 90.00, 90.00 and 90.00 degrees. The asymmetric unit holds Ac at (0.000, 0.250, 0.125), Dy at (0.058, 0.123, 0.933), Zr at (0.000, 0.000, 0.000) and Zr at (0.000, 0.250, 0.375).

The value obtained for the calculated total energy is -4.420 eV/atom. The spin magnetization comes out at 3.66 μB/f.u.

=====

Entry 8:
DFT (GGA-PBE) results for a relaxed Ac2DyZr crystal.

The space group is R-3m (No. 166, hexagonal axes) and the conventional cell measures 3.5997, 3.5997 and 37.6801 Å, with angles of 90.00, 90.00 and 120.00 degrees. The asymmetric unit holds Ac at (0.0000, 0.0000, 0.0850), Dy at (0.0000, 0.0000, 0.5000) and Zr at (0.0000, 0.0000, 0.0000).

The value obtained for the calculated total energy is -4.881 eV/atom. The spin magnetization comes out at 0.00 μB/f.u.